Here is crystalline TcIr2I at its relaxed geometry from the Alexandria database. Energies are from PBE-GGA.

Computed properties:
Crystal system = tetragonal
Formation energy (no corrections) = 0.9594 eV per atom
DOS(E_F) = 2.450 states/eV/f.u.
Relative energy among the computed polymorphs = 0.00 eV/f.u.

Geometry as CIF:
```
data_TcIr2I
_cell_length_a 6.293
_cell_length_b 6.293
_cell_length_c 9.618
_cell_angle_alpha 90.00
_cell_angle_beta 90.00
_cell_angle_gamma 90.00
_space_group_name_H-M_alt 'I -4 2 d'
_space_group_IT_number 122
_space_group_name_Hall 'I -4 2bw'
loop_
_atom_site_label
_atom_site_fract_x
_atom_site_fract_y
_atom_site_fract_z
Tc1 0.000 0.000 0.000
Ir1 0.211 0.250 0.125
I1 0.000 0.000 0.500
```